[1]
9
Lattice="6.282 -2.558 0.000 6.282 2.558 0.000 -5.540 0.000 6.777" Properties=species:S:1:pos:R:3 comment="TbZr2S6 | Alexandria via LeMat-Bulk | GGA-PBE | optimized geometry" raw_formation_energy_mev_per_atom=-1423 magmom_total_mub_per_fu=0.0 dos_ef_per_ev_cell=1.82 volume_a3_per_cell=217.9 pbc="T T T"
Tb 0.000 0.000 0.000
Zr -1.088 0.000 3.948
Zr 8.112 0.000 2.829
S -3.326 0.000 5.055
S 1.251 0.000 2.644
S -0.397 0.000 6.430
S 7.421 0.000 0.348
S 5.773 0.000 4.134
S 10.350 0.000 1.722

***

[2]
5
Lattice="3.914 0.000 0.000 0.000 3.914 0.000 0.000 0.000 4.590" Properties=species:S:1:pos:R:3 comment="RbBeCuC2 | Alexandria via LeMat-Bulk | GGA-PBE | optimized geometry" magmom_total_mub_per_fu=1.1 formation_enthalpy_0k_mev_per_atom=1922 dos_ef_per_ev_cell=2.01 volume_a3_per_cell=70.3 pbc="T T T"
Rb 0.000 0.000 0.000
Be 1.957 1.957 2.295
Cu 1.957 1.957 0.000
C 0.000 1.957 2.295
C 1.957 0.000 2.295

***

[3]
9
Lattice="5.515 0.000 0.000 -2.754 6.375 0.000 0.000 -2.227 8.377" Properties=species:S:1:pos:R:3 comment="Pr3Nd4Hg2 | Alexandria via LeMat-Bulk | GGA-PBE | optimized geometry" magmom_total_mub_per_fu=0.0 formation_enthalpy_0k_mev_per_atom=-185 dos_ef_per_ev_cell=12.12 volume_a3_per_cell=294.5 pbc="T T T"
Pr 0.000 0.000 0.000
Pr 0.006 3.909 5.457
Pr 2.755 0.239 2.920
Nd 0.003 0.135 5.494
Nd 0.001 4.092 0.403
Nd 2.760 0.055 7.974
Nd 2.758 4.013 2.883
Hg -0.003 1.907 2.667
Hg 2.764 2.240 5.710

***

[4]
13
Lattice="10.015 0.000 0.000 -5.007 8.673 0.000 0.000 0.000 5.384" Properties=species:S:1:pos:R:3 comment="K9AuO3 | Alexandria via LeMat-Bulk | GGA-PBE | optimized geometry" raw_formation_energy_mev_per_atom=-690 magmom_total_mub_per_fu=0.0 dos_ef_per_ev_cell=3.55 volume_a3_per_cell=467.7 pbc="T T T"
K -2.504 4.337 0.000
K 0.000 3.490 2.692
K -1.985 6.928 2.692
K 3.022 1.745 2.692
K 5.007 0.000 0.000
K 2.504 4.337 0.000
K 1.985 6.928 2.692
K 6.993 1.745 2.692
K 5.007 5.183 2.692
Au 0.000 0.000 0.000
O -2.504 4.337 2.692
O 5.007 0.000 2.692
O 2.504 4.337 2.692